# 1
Co2Re2Pd: optimized geometry, PBE-GGA.

```
Co2Re2Pd
1.0
7.2700 0.0000 0.0000
0.0000 7.2700 0.0000
0.0000 0.0000 2.6124
Re Co Pd
4 4 2
direct
0.3735 0.8735 0.0000
0.8735 0.6265 0.0000
0.6265 0.1265 0.0000
0.1265 0.3735 0.0000
0.1662 0.6662 0.5000
0.6662 0.8338 0.5000
0.8338 0.3338 0.5000
0.3338 0.1662 0.5000
0.0000 0.0000 0.0000
0.5000 0.5000 0.0000
```

Calculated values
size of the total moment: 0.000 μB per cell
formation energy: 0.220 eV/atom
N(E_F): 6.9 states/eV per cell
symmetry: P4/mbm (127)
raw total energy: -86.40 eV for the cell shown

# 2
Co2Re2Pd: optimized geometry, PBE-GGA.

```
Co2Re2Pd
1.0
-6.4865 2.8470 0.6537
-2.2089 -5.8222 3.4394
0.7115 1.0918 2.3052
Re Co Pd
4 4 2
direct
0.1716 0.6716 0.5000
0.6716 0.8284 0.5000
0.8284 0.3284 0.5000
0.3284 0.1716 0.5000
0.3781 0.8781 0.0000
0.8781 0.6219 0.0000
0.6219 0.1219 0.0000
0.1219 0.3781 0.0000
0.0000 0.0000 0.0000
0.5000 0.5000 0.0000
```

Calculated values
size of the total moment: 0.000 μB per cell
formation energy: 0.145 eV/atom
N(E_F): 5.7 states/eV per cell
symmetry: P4/mbm (127)
raw total energy: -87.16 eV for the cell shown

# 3
CoRePd: optimized geometry, PBE-GGA.

```
CoRePd
1.0
2.7118 0.0000 0.0000
-1.3559 2.3485 0.0000
0.0000 0.0000 6.5142
Re Co Pd
1 1 1
direct
0.6667 0.3333 0.3506
0.3333 0.6667 0.6566
0.0000 0.0000 0.9927
```

Calculated values
size of the total moment: 1.149 μB per cell
formation energy: 0.126 eV/atom
N(E_F): 3.0 states/eV per cell
symmetry: P3m1 (156)
raw total energy: -24.37 eV for the cell shown

# 4
Co2RePd: optimized geometry, PBE-GGA.

```
Co2RePd
1.0
2.6813 0.0000 0.0000
1.3407 2.3221 0.0000
1.3407 0.7740 8.4901
Re Co Pd
1 2 1
direct
0.0000 0.0000 0.0000
0.7482 0.7482 0.7555
0.2518 0.2518 0.2445
0.5000 0.5000 0.5000
```

Calculated values
size of the total moment: 2.757 μB per cell
formation energy: 0.134 eV/atom
N(E_F): 5.4 states/eV per cell
symmetry: R-3m (166)
raw total energy: -31.32 eV for the cell shown

# 5
CoRe3Pd: optimized geometry, PBE-GGA.

```
CoRe3Pd
1.0
-0.0158 0.5702 -4.3379
-2.1267 -3.7920 -0.4907
-3.8236 2.1068 0.2908
Re Co Pd
3 1 1
direct
0.0000 0.5000 0.0000
0.0000 0.0000 0.5000
0.5000 0.0000 0.0000
0.0000 0.0000 0.0000
0.5000 0.5000 0.5000
```

Calculated values
size of the total moment: 0.000 μB per cell
formation energy: 1.533 eV/atom
N(E_F): 4.5 states/eV per cell
symmetry: Pm-3m (221)
raw total energy: -41.98 eV for the cell shown

# 6
CoRePd2Rh: optimized geometry, PBE-GGA.

```
CoRePd2Rh
1.0
4.4889 0.0000 0.0000
0.0000 4.4329 0.0000
0.0000 0.0000 4.4889
Re Rh Pd Co
1 1 2 1
direct
0.5000 0.5000 0.5000
0.0000 0.5000 0.0000
0.0000 0.0000 0.5000
0.5000 0.0000 0.0000
0.0000 0.0000 0.0000
```

Calculated values
size of the total moment: 6.621 μB per cell
formation energy: 1.449 eV/atom
N(E_F): 6.2 states/eV per cell
symmetry: P4/mmm (123)
raw total energy: -30.05 eV for the cell shown

# 7
Co2ReTePd: optimized geometry, PBE-GGA.

```
Co2ReTePd
1.0
-0.4911 -4.2361 -1.4269
2.0087 1.2655 -4.4481
4.0953 -1.0018 1.5644
Re Te Co Pd
1 1 2 1
direct
0.0000 0.0000 0.0000
0.0000 0.5000 0.0000
0.0000 0.0000 0.5000
0.5000 0.0000 0.0000
0.5000 0.5000 0.5000
```

Calculated values
size of the total moment: 1.793 μB per cell
N(E_F): 10.1 states/eV per cell
symmetry: P4/mmm (123)
uncorrected formation energy: 1.295 eV/atom
raw total energy: -28.52 eV for the cell shown

# 8
Ti5Co2RePd2: optimized geometry, PBE-GGA.

```
Ti5Co2RePd2
1.0
-1.4716 -2.6916 0.2604
8.7345 -4.8072 -0.3287
0.6939 0.5816 9.9342
Ti Co Re Pd
10 4 2 4
direct
0.5000 0.1963 0.0798
0.5000 0.8037 0.9202
0.5000 0.0798 0.8037
0.5000 0.6963 0.4202
0.5000 0.9202 0.1963
0.5000 0.3037 0.5798
0.5000 0.5798 0.6963
0.5000 0.4202 0.3037
0.5000 0.5000 0.0000
0.5000 0.0000 0.5000
0.0000 0.1264 0.6264
0.0000 0.8736 0.3736
0.0000 0.6264 0.8736
0.0000 0.3736 0.1264
0.0000 0.0000 0.0000
0.0000 0.5000 0.5000
0.0000 0.6695 0.1695
0.0000 0.3305 0.8305
0.0000 0.1695 0.3305
0.0000 0.8305 0.6695
```

Calculated values
size of the total moment: 0.000 μB per cell
formation energy: -0.268 eV/atom
N(E_F): 22.0 states/eV per cell
symmetry: P4/mbm (127)
raw total energy: -158.41 eV for the cell shown

# 9
VCoRe2Pd: optimized geometry, PBE-GGA.

```
VCoRe2Pd
1.0
-2.7555 -3.1945 -2.0094
3.4260 -2.6715 -0.4512
-0.8991 -1.8608 4.1910
Re Co Pd V
2 1 1 1
direct
0.0000 0.0000 0.5000
0.5000 0.0000 0.0000
0.0000 0.5000 0.0000
0.0000 0.0000 0.0000
0.5000 0.5000 0.5000
```

Calculated values
size of the total moment: 2.109 μB per cell
formation energy: 2.323 eV/atom
N(E_F): 10.8 states/eV per cell
symmetry: P4/mmm (123)
raw total energy: -34.70 eV for the cell shown

# 10
ZrCoRePd2: optimized geometry, PBE-GGA.

```
ZrCoRePd2
1.0
4.5689 0.0000 0.0000
0.0000 4.5689 0.0000
0.0000 0.0000 4.3330
Re Co Zr Pd
1 1 1 2
direct
0.0000 0.0000 0.5000
0.0000 0.0000 0.0000
0.5000 0.5000 0.5000
0.0000 0.5000 0.0000
0.5000 0.0000 0.0000
```

Calculated values
size of the total moment: 1.102 μB per cell
formation energy: 0.659 eV/atom
N(E_F): 6.3 states/eV per cell
symmetry: P4/mmm (123)
raw total energy: -35.19 eV for the cell shown

# 11
CoPdRh: optimized geometry, PBE-GGA.

```
CoPdRh
1.0
5.1028 0.0000 0.0000
-2.5514 4.4192 0.0000
0.0000 0.0000 12.2690
Rh Co Pd
6 6 6
direct
0.5000 0.0000 0.6667
0.0000 0.0000 0.5000
0.0000 0.0000 0.8333
0.0000 0.0000 0.1667
0.5000 0.5000 0.0000
0.0000 0.5000 0.3333
0.3737 0.7475 0.1667
0.7475 0.3737 0.8333
0.6263 0.3737 0.5000
0.6263 0.2525 0.1667
0.3737 0.6263 0.5000
0.2525 0.6263 0.8333
0.5000 0.5000 0.3085
0.0000 0.5000 0.6418
0.5000 0.5000 0.6915
0.0000 0.5000 0.0248
0.5000 0.0000 0.9752
0.5000 0.0000 0.3582
```

Calculated values
size of the total moment: 19.320 μB per cell
formation energy: 0.528 eV/atom
N(E_F): 19.6 states/eV per cell
symmetry: P6_222 (180)
raw total energy: -108.40 eV for the cell shown

# 12
CoPdRh3: optimized geometry, PBE-GGA.

```
CoPdRh3
1.0
4.4266 0.0000 0.0000
0.0000 4.4266 0.0000
0.0000 0.0000 4.4266
Co Rh Pd
1 3 1
direct
0.0000 0.0000 0.0000
0.0000 0.5000 0.0000
0.0000 0.0000 0.5000
0.5000 0.0000 0.0000
0.5000 0.5000 0.5000
```

Calculated values
size of the total moment: 4.286 μB per cell
formation energy: 1.063 eV/atom
N(E_F): 9.5 states/eV per cell
symmetry: Pm-3m (221)
raw total energy: -29.04 eV for the cell shown

# 13
Co2PdRh: optimized geometry, PBE-GGA.

```
Co2PdRh
1.0
-3.0851 -1.3901 -5.7327
1.9453 -6.3473 0.4922
-2.7692 -4.4402 -1.2981
Co Rh Pd
4 2 2
direct
0.6117 0.1250 0.2500
0.1383 0.6250 0.2500
0.3750 0.3883 0.7500
0.8750 0.8617 0.7500
0.5000 0.5000 0.0000
0.2500 0.7500 0.5000
0.0000 0.0000 0.0000
0.7500 0.2500 0.5000
```

Calculated values
size of the total moment: 10.364 μB per cell
formation energy: 0.545 eV/atom
N(E_F): 12.5 states/eV per cell
symmetry: I-42d (122)
raw total energy: -49.15 eV for the cell shown

# 14
CoPd2Rh2: optimized geometry, PBE-GGA.

```
CoPd2Rh2
1.0
-2.1203 3.6778 4.5301
-5.7699 -0.6027 -2.2113
-0.5614 -3.2035 2.3380
Co Rh Pd
2 4 4
direct
0.0000 0.0000 0.0000
0.5000 0.5000 0.0000
0.3589 0.8589 0.0000
0.8589 0.6411 0.0000
0.6411 0.1411 0.0000
0.1411 0.3589 0.0000
0.1621 0.6621 0.5000
0.6621 0.8379 0.5000
0.8379 0.3379 0.5000
0.3379 0.1621 0.5000
```

Calculated values
size of the total moment: 6.952 μB per cell
formation energy: 0.379 eV/atom
N(E_F): 14.4 states/eV per cell
symmetry: P4/mbm (127)
raw total energy: -60.60 eV for the cell shown

# 15
Co2PdRh: optimized geometry, PBE-GGA.

```
Co2PdRh
1.0
-2.2579 -0.5920 2.8194
2.0950 -0.6133 1.5489
0.4461 5.1659 1.4418
Co Pd Rh
2 1 1
direct
0.0000 0.9998 0.7630
0.0000 0.0002 0.2370
0.5000 0.5000 0.5000
0.5000 0.5000 0.0000
```

Calculated values
size of the total moment: 5.047 μB per cell
formation energy: 0.074 eV/atom
N(E_F): 5.2 states/eV per cell
symmetry: Pmmm (47)
raw total energy: -26.46 eV for the cell shown

# 16
Co2PdRh: optimized geometry, PBE-GGA.

```
Co2PdRh
1.0
-2.1930 -0.5655 1.4169
-1.9684 -1.4325 -1.0999
2.2772 -7.8532 2.9085
Co Rh Pd
2 1 1
direct
0.7488 0.7488 0.7535
0.2512 0.2512 0.2465
0.0000 0.0000 0.0000
0.5000 0.5000 0.5000
```

Calculated values
size of the total moment: 4.768 μB per cell
formation energy: 0.089 eV/atom
N(E_F): 5.3 states/eV per cell
symmetry: R-3m (166)
raw total energy: -26.40 eV for the cell shown

# 17
Co2PdRh: optimized geometry, PBE-GGA.

```
Co2PdRh
1.0
-3.2076 1.1328 2.5286
-2.9610 -2.8385 1.0681
-0.1913 -1.4716 3.9692
Co Pd Rh
2 1 1
direct
0.0000 0.0000 0.0000
0.2500 0.2500 0.2501
0.5000 0.5000 0.5000
0.7500 0.7500 0.7499
```

Calculated values
size of the total moment: 5.044 μB per cell
formation energy: 0.240 eV/atom
N(E_F): 3.4 states/eV per cell
symmetry: F-43m (216)
raw total energy: -25.79 eV for the cell shown

# 18
Co4PdRh: optimized geometry, PBE-GGA.

```
Co4PdRh
1.0
4.7276 0.0000 0.0000
2.3638 4.0942 0.0000
2.3638 1.3647 3.8601
Co Rh Pd
4 1 1
direct
0.6250 0.6250 0.1249
0.6250 0.1249 0.6250
0.6250 0.6250 0.6250
0.1249 0.6250 0.6250
0.2500 0.2500 0.2500
0.0000 0.0000 0.0000
```

Calculated values
size of the total moment: 8.437 μB per cell
formation energy: 0.062 eV/atom
N(E_F): 7.8 states/eV per cell
symmetry: F-43m (216)
raw total energy: -40.59 eV for the cell shown

# 19
Co2PdRh: optimized geometry, PBE-GGA.

```
Co2PdRh
1.0
3.6331 0.0000 0.0000
0.0000 3.8018 0.0000
0.0000 0.0000 3.8018
Co Rh Pd
2 1 1
direct
0.0000 0.0000 0.5000
0.0000 0.5000 0.0000
0.5000 0.5000 0.5000
0.5000 0.0000 0.0000
```

Calculated values
size of the total moment: 4.940 μB per cell
formation energy: 0.088 eV/atom
N(E_F): 5.7 states/eV per cell
symmetry: P4/mmm (123)
raw total energy: -26.40 eV for the cell shown

# 20
CoPdRh: optimized geometry, PBE-GGA.

```
CoPdRh
1.0
2.7268 0.0000 0.0000
0.0000 2.7268 0.0000
-1.3634 -1.3634 5.5471
Co Rh Pd
1 1 1
direct
0.3287 0.3287 0.6574
0.6784 0.6784 0.3568
0.9929 0.9929 0.9858
```

Calculated values
size of the total moment: 3.146 μB per cell
formation energy: 0.049 eV/atom
N(E_F): 4.1 states/eV per cell
symmetry: I4mm (107)
raw total energy: -19.50 eV for the cell shown